First-principles (PBE with a Hubbard U) data for an optimized crystal structure of CrTeRhO2, as listed in the Alexandria database.

Density in g/cm³: 5.685
Electronic total energy in eV per atom: -5.72

Geometry as CIF:
```
data_CrTeRhO2
_cell_length_a 3.817
_cell_length_b 3.817
_cell_length_c 6.305
_cell_angle_alpha 90.00
_cell_angle_beta 90.00
_cell_angle_gamma 90.00
_symmetry_space_group_name_H-M 'P 4/m m m'
_symmetry_Int_Tables_number 123
_symmetry_space_group_name_Hall '-P 4 2'
loop_
_atom_site_label
_atom_site_fract_x
_atom_site_fract_y
_atom_site_fract_z
_atom_site_occupancy
Cr1 0.000 0.000 0.000 1
Te1 0.500 0.500 0.000 1
Rh1 0.000 0.000 0.500 1
O1 0.000 0.500 0.500 1
```